# RbAs2RuBr (SCAN, PBEsol geometry)
# **Density of states at the Fermi level**: 0.742 states/eV/atom
# **Energy relative to the elements, uncorrected**: -109 kJ/mol of formula units
# **E_tot**: -23.308 eV/atom
# **Magnetic moment**: 0.0 μB/f.u.
# **Density**: 5.413 Mg/m³
data_RbAs2RuBr
_chemical_formula_sum 'Rb1 As2 Ru1 Br1'
_space_group_name_H-M_alt 'P 4/m m m'
_space_group_IT_number 123
_space_group_name_Hall '-P 4 2'
_cell_length_a 4.697
_cell_length_b 4.697
_cell_length_c 5.789
_cell_angle_alpha 90.00
_cell_angle_beta 90.00
_cell_angle_gamma 90.00
loop_
_atom_site_label
_atom_site_type_symbol
_atom_site_fract_x
_atom_site_fract_y
_atom_site_fract_z
Rb1 Rb 0.000 0.000 0.000
As1 As 0.000 0.500 0.500
Ru1 Ru 0.500 0.500 0.500
Br1 Br 0.500 0.500 0.000

***

# RbBaBi3 (SCAN, PBEsol geometry)
# **Density of states at the Fermi level**: 0.729 states/eV/atom
# **E_tot**: -58.792 eV/atom
# **Magnetic moment**: 0.0 μB/f.u.
# **Density**: 6.518 Mg/m³
# **Formation enthalpy at 0 K**: 2.07 eV per formula unit
data_RbBaBi3
_chemical_formula_sum 'Rb1 Ba1 Bi3'
_space_group_name_H-M_alt 'P m -3 m'
_space_group_IT_number 221
_space_group_name_Hall '-P 4 2 3'
_cell_length_a 6.005
_cell_length_b 6.005
_cell_length_c 6.005
_cell_angle_alpha 90.00
_cell_angle_beta 90.00
_cell_angle_gamma 90.00
loop_
_atom_site_label
_atom_site_type_symbol
_atom_site_fract_x
_atom_site_fract_y
_atom_site_fract_z
Rb1 Rb 0.000 0.000 0.000
Ba1 Ba 0.500 0.500 0.500
Bi1 Bi 0.000 0.000 0.500

***

# LaPbCl2 (SCAN, PBEsol geometry)
# **Density of states at the Fermi level**: 0.437 states/eV/atom
# **Energy relative to the elements, uncorrected**: -591 kJ/mol of formula units
# **E_tot**: -35.241 eV/atom
# **Magnetic moment**: 0.0 μB/f.u.
# **Density**: 6.489 Mg/m³
data_LaPbCl2
_chemical_formula_sum 'La2 Pb2 Cl4'
_space_group_name_H-M_alt 'I m m m'
_space_group_IT_number 71
_space_group_name_Hall '-I 2 2'
_cell_length_a 3.491
_cell_length_b 6.191
_cell_length_c 9.874
_cell_angle_alpha 90.00
_cell_angle_beta 90.00
_cell_angle_gamma 90.00
loop_
_atom_site_label
_atom_site_type_symbol
_atom_site_fract_x
_atom_site_fract_y
_atom_site_fract_z
La1 La 0.000 0.000 0.000
Pb1 Pb 0.000 0.000 0.500
Cl1 Cl 0.000 0.500 0.272

***

> magnetic moment of number 1 (RbAs2RuBr)?

0.0 μB/f.u.